Entry 1:
Crystalline La2Ga3SbIr4 at its relaxed geometry, computed with PBE.

Computed properties:
D(E_F): 5.7 states/eV/cell
E_form (uncorrected): -0.720 eV per atom

Geometry as POSCAR:
```
La2Ga3SbIr4
1.0
-3.7237 1.4661 1.9123
1.6705 -0.9661 3.9936
3.9892 9.3563 0.5947
La Ga Sb Ir
2 3 1 4
direct
0.5000 0.0000 0.2351
0.0000 0.5000 0.7649
0.0000 0.0000 0.5000
0.5000 0.0000 0.8780
0.0000 0.5000 0.1220
0.5000 0.5000 0.5000
0.5000 0.5000 0.0000
0.0000 0.0000 0.0000
0.5000 0.0000 0.6338
0.0000 0.5000 0.3662
```



Entry 2:
Crystalline La2GaIrSe at its relaxed geometry, computed with PBE.

Computed properties:
D(E_F): 3.5 states/eV/cell
E_form (uncorrected): -0.874 eV per atom

Geometry as POSCAR:
```
La2GaIrSe
1.0
-5.2244 -0.3125 2.3198
1.2763 -4.0357 2.3308
1.7868 3.1328 4.4460
Ir Ga Se La
1 1 1 2
direct
0.0000 0.0000 0.0000
0.0000 0.5000 0.0000
0.5000 0.5000 0.5000
0.0000 0.0000 0.5000
0.5000 0.0000 0.0000
```



Entry 3:
Crystalline La2GaSi4Ir3 at its relaxed geometry, computed with PBE.

Computed properties:
D(E_F): 5.8 states/eV/cell
E_form (uncorrected): -0.880 eV per atom

Geometry as POSCAR:
```
La2GaSi4Ir3
1.0
4.2530 0.0000 0.0000
0.0000 4.2530 0.0000
0.0000 0.0000 10.0714
La Ga Si Ir
2 1 4 3
direct
0.5000 0.0000 0.2436
0.0000 0.5000 0.7564
0.5000 0.5000 0.5000
0.5000 0.5000 0.0000
0.0000 0.0000 0.0000
0.5000 0.0000 0.6406
0.0000 0.5000 0.3594
0.0000 0.0000 0.5000
0.5000 0.0000 0.8797
0.0000 0.5000 0.1203
```



Entry 4:
Crystalline LaSmGa2Ir2 at its relaxed geometry, computed with PBE.

Computed properties:
D(E_F): 3.9 states/eV/cell
formation energy: -0.760 eV per atom

Geometry as POSCAR:
```
LaSmGa2Ir2
1.0
4.3976 0.0000 0.0000
-2.1988 3.8084 0.0000
0.0000 0.0000 7.7346
La Sm Ga Ir
1 1 2 2
direct
0.0000 0.0000 0.0000
0.0000 0.0000 0.5000
0.6667 0.3333 0.7361
0.3333 0.6667 0.2639
0.6667 0.3333 0.2603
0.3333 0.6667 0.7397
```



Entry 5:
Crystalline La2GaSn3Ir4 at its relaxed geometry, computed with PBE.

Computed properties:
D(E_F): 7.2 states/eV/cell
formation energy: -0.616 eV per atom

Geometry as POSCAR:
```
La2GaSn3Ir4
1.0
-1.0580 -3.1350 -2.9698
1.3515 -3.1444 2.8379
-10.0992 -0.5600 4.1890
La Ga Sn Ir
2 1 3 4
direct
0.5000 0.0000 0.2557
0.0000 0.5000 0.7443
0.5000 0.5000 0.5000
0.0000 0.0000 0.5000
0.5000 0.0000 0.8676
0.0000 0.5000 0.1324
0.5000 0.5000 0.0000
0.0000 0.0000 0.0000
0.5000 0.0000 0.6285
0.0000 0.5000 0.3715
```



Entry 6:
Crystalline LaGaSnIr2 at its relaxed geometry, computed with PBE.

Computed properties:
D(E_F): 4.5 states/eV/cell
formation energy: 0.453 eV per atom

Geometry as POSCAR:
```
LaGaSnIr2
1.0
-2.0920 3.2943 -3.1256
-4.3248 -2.4505 0.3119
-1.3316 2.8451 3.8899
Ir Sn Ga La
2 1 1 1
direct
0.0000 0.0000 0.5000
0.5000 0.0000 0.0000
0.0000 0.0000 0.0000
0.0000 0.5000 0.0000
0.5000 0.5000 0.5000
```



Entry 7:
Crystalline SrLaGa2Ir2 at its relaxed geometry, computed with PBE.

Computed properties:
D(E_F): 4.1 states/eV/cell
formation energy: -0.637 eV per atom

Geometry as POSCAR:
```
SrLaGa2Ir2
1.0
4.3371 0.0000 0.0000
-2.1686 3.7561 0.0000
0.0000 0.0000 8.5753
Sr La Ga Ir
1 1 2 2
direct
0.0000 0.0000 0.5000
0.0000 0.0000 0.0000
0.6667 0.3333 0.7572
0.3333 0.6667 0.2428
0.6667 0.3333 0.2241
0.3333 0.6667 0.7759
```



Entry 8:
Crystalline LaTaGaIr2 at its relaxed geometry, computed with PBE.

Computed properties:
D(E_F): 3.4 states/eV/cell
formation energy: 0.193 eV per atom

Geometry as POSCAR:
```
LaTaGaIr2
1.0
-0.8017 -3.6273 -3.1644
3.2213 1.9794 -3.0851
3.6331 -2.6366 2.1019
Ir La Ga Ta
2 1 1 1
direct
0.0000 0.5000 0.0000
0.5000 0.0000 0.0000
0.5000 0.5000 0.5000
0.0000 0.0000 0.5000
0.0000 0.0000 0.0000
```



Entry 9:
Crystalline LaTbGaIr at its relaxed geometry, computed with PBE.

Computed properties:
D(E_F): 3.6 states/eV/cell
polymorph energy (0 for the lowest one): 0.00 eV/f.u.
formation energy: -0.679 eV per atom

Geometry as POSCAR:
```
LaTbGaIr
1.0
4.2886 0.0000 0.0000
0.0000 4.3470 0.0000
-2.1443 0.0000 5.2548
La Tb Ga Ir
1 1 1 1
direct
0.1491 0.0000 0.2982
0.8636 0.5000 0.7272
0.5637 0.5000 0.1273
0.4236 0.0000 0.8472
```



Entry 10:
Crystalline LaTbGaIr at its relaxed geometry, computed with PBE.

Computed properties:
D(E_F): 3.8 states/eV/cell
polymorph energy (0 for the lowest one): 0.45 eV/f.u.
formation energy: -0.566 eV per atom

Geometry as POSCAR:
```
LaTbGaIr
1.0
-0.2630 1.4193 -4.8892
3.4607 -1.6969 -3.3364
-1.3442 -3.3841 -3.5677
Ir Tb Ga La
1 1 1 1
direct
0.7500 0.7500 0.7500
0.0000 0.0000 0.0000
0.2500 0.2500 0.2500
0.5000 0.5000 0.5000
```



Entry 11:
Crystalline LaGaTcIr2 at its relaxed geometry, computed with PBE.

Computed properties:
D(E_F): 4.3 states/eV/cell
formation energy: 0.741 eV per atom

Geometry as POSCAR:
```
LaGaTcIr2
1.0
-2.9769 3.4390 -1.4856
-1.7193 0.6501 4.9502
3.4068 3.2745 0.7532
Ir Tc Ga La
2 1 1 1
direct
0.0000 0.0000 0.5000
0.5000 0.0000 0.0000
0.0000 0.0000 0.0000
0.5000 0.5000 0.5000
0.0000 0.5000 0.0000
```



Entry 12:
Crystalline La2TiGa3Ir4 at its relaxed geometry, computed with PBE.

Computed properties:
D(E_F): 6.2 states/eV/cell
formation energy: -0.753 eV per atom

Geometry as POSCAR:
```
La2TiGa3Ir4
1.0
4.2595 0.0000 0.0000
0.0000 4.2595 0.0000
0.0000 0.0000 10.7036
La Ti Ga Ir
2 1 3 4
direct
0.5000 0.0000 0.2351
0.0000 0.5000 0.7649
0.5000 0.5000 0.5000
0.0000 0.0000 0.5000
0.5000 0.0000 0.8762
0.0000 0.5000 0.1238
0.5000 0.5000 0.0000
0.0000 0.0000 0.0000
0.5000 0.0000 0.6365
0.0000 0.5000 0.3635
```



Entry 13:
Crystalline LaTiGaIr2 at its relaxed geometry, computed with PBE.

Computed properties:
D(E_F): 3.8 states/eV/cell
formation energy: -0.785 eV per atom

Geometry as POSCAR:
```
LaTiGaIr2
1.0
4.1055 0.0000 0.0000
0.0000 4.1055 0.0000
-2.0527 -2.0527 5.8166
La Ti Ga Ir
1 1 1 2
direct
0.0000 0.0000 0.0000
0.7500 0.2500 0.5000
0.2500 0.7500 0.5000
0.6149 0.6149 0.2297
0.3851 0.3851 0.7703
```



Entry 14:
Crystalline La2TlGaIr at its relaxed geometry, computed with PBE.

Computed properties:
D(E_F): 6.4 states/eV/cell
polymorph energy (0 for the lowest one): 0.00 eV/f.u.
formation energy: -0.592 eV per atom

Geometry as POSCAR:
```
La2TlGaIr
1.0
-2.3184 -3.8237 0.7842
6.0223 -2.8858 3.7332
-4.6904 3.9270 5.2812
La Tl Ga Ir
4 2 2 2
direct
0.7500 0.8680 0.6678
0.7500 0.7160 0.0423
0.2500 0.1320 0.3322
0.2500 0.2840 0.9577
0.2500 0.6799 0.3462
0.7500 0.3201 0.6538
0.2500 0.5598 0.6794
0.7500 0.4402 0.3206
0.2500 0.8769 0.9100
0.7500 0.1231 0.0900
```



Entry 15:
Crystalline La2TlGaIr at its relaxed geometry, computed with PBE.

Computed properties:
D(E_F): 4.6 states/eV/cell
polymorph energy (0 for the lowest one): 0.35 eV/f.u.
formation energy: -0.522 eV per atom

Geometry as POSCAR:
```
La2TlGaIr
1.0
5.5720 0.0000 0.0000
0.0000 5.5720 0.0000
0.0000 0.0000 4.8501
Tl Ir Ga La
1 1 1 2
direct
0.5000 0.5000 0.5000
0.0000 0.0000 0.0000
0.0000 0.0000 0.5000
0.0000 0.5000 0.0000
0.5000 0.0000 0.0000
```



Entry 16:
Crystalline LaTmGa2Ir2 at its relaxed geometry, computed with PBE.

Computed properties:
D(E_F): 4.3 states/eV/cell
formation energy: -0.800 eV per atom

Geometry as POSCAR:
```
LaTmGa2Ir2
1.0
4.4236 0.0000 0.0000
-2.2118 3.8309 0.0000
0.0000 0.0000 7.3179
La Tm Ga Ir
1 1 2 2
direct
0.0000 0.0000 0.0000
0.0000 0.0000 0.5000
0.6667 0.3333 0.7146
0.3333 0.6667 0.2854
0.6667 0.3333 0.2822
0.3333 0.6667 0.7178
```



Entry 17:
Crystalline La2ZnGa3Ir4 at its relaxed geometry, computed with PBE.

Computed properties:
D(E_F): 5.7 states/eV/cell
formation energy: -0.684 eV per atom

Geometry as POSCAR:
```
La2ZnGa3Ir4
1.0
4.2999 0.0000 0.0000
0.0000 4.2999 0.0000
0.0000 0.0000 10.3971
La Zn Ga Ir
2 1 3 4
direct
0.5000 0.0000 0.2425
0.0000 0.5000 0.7575
0.5000 0.5000 0.5000
0.0000 0.0000 0.5000
0.5000 0.0000 0.8756
0.0000 0.5000 0.1244
0.5000 0.5000 0.0000
0.0000 0.0000 0.0000
0.5000 0.0000 0.6349
0.0000 0.5000 0.3651
```



Entry 18:
Crystalline LaZnGaIr at its relaxed geometry, computed with PBE.

Computed properties:
D(E_F): 2.7 states/eV/cell
formation energy: -0.399 eV per atom

Geometry as POSCAR:
```
LaZnGaIr
1.0
-3.1271 0.4704 3.1942
0.1701 -3.7419 0.7176
5.2723 2.4962 1.6316
La Zn Ga Ir
1 1 1 1
direct
0.9406 0.9406 0.8811
0.6014 0.6014 0.2028
0.2106 0.7106 0.4211
0.3628 0.3628 0.7256
```



Entry 19:
Crystalline LaZn2GaIr2 at its relaxed geometry, computed with PBE.

Computed properties:
D(E_F): 5.6 states/eV/cell
formation energy: -0.105 eV per atom

Geometry as POSCAR:
```
LaZn2GaIr2
1.0
4.6070 0.0000 0.0000
0.0000 4.6070 0.0000
0.0000 0.0000 5.7824
La Zn Ga Ir
1 2 1 2
direct
0.0000 0.0000 0.5000
0.5000 0.5000 0.7401
0.5000 0.5000 0.2599
0.0000 0.0000 0.0000
0.5000 0.0000 0.0000
0.0000 0.5000 0.0000
```



Entry 20:
Crystalline La2ZnGa4Ir3 at its relaxed geometry, computed with PBE.

Computed properties:
D(E_F): 7.6 states/eV/cell
formation energy: -0.641 eV per atom

Geometry as POSCAR:
```
La2ZnGa4Ir3
1.0
4.2319 0.0000 0.0000
0.0000 4.2319 0.0000
0.0000 0.0000 10.8791
La Zn Ga Ir
2 1 4 3
direct
0.5000 0.0000 0.2434
0.0000 0.5000 0.7566
0.5000 0.5000 0.5000
0.5000 0.5000 0.0000
0.0000 0.0000 0.0000
0.5000 0.0000 0.6325
0.0000 0.5000 0.3675
0.0000 0.0000 0.5000
0.5000 0.0000 0.8669
0.0000 0.5000 0.1331
```



Entry 21:
Crystalline La2ZrGa3Ir4 at its relaxed geometry, computed with PBE.

Computed properties:
D(E_F): 6.5 states/eV/cell
formation energy: -0.761 eV per atom

Geometry as POSCAR:
```
La2ZrGa3Ir4
1.0
-0.8769 3.9821 -1.2867
-4.0026 -1.1819 -0.9298
-3.1416 2.6073 10.2100
La Zr Ga Ir
2 1 3 4
direct
0.5000 0.0000 0.2274
0.0000 0.5000 0.7726
0.5000 0.5000 0.5000
0.0000 0.0000 0.5000
0.5000 0.0000 0.8799
0.0000 0.5000 0.1201
0.5000 0.5000 0.0000
0.0000 0.0000 0.0000
0.5000 0.0000 0.6470
0.0000 0.5000 0.3530
```



Entry 22:
Crystalline Li2Ga4Ir at its relaxed geometry, computed with PBE.

Computed properties:
D(E_F): 5.8 states/eV/cell
polymorph energy (0 for the lowest one): 0.00 eV/f.u.
formation energy: -0.242 eV per atom

Geometry as POSCAR:
```
Li2Ga4Ir
1.0
-2.4639 -5.9330 1.6199
6.2977 0.3011 2.0356
-3.3991 4.8842 2.9131
Li Ga Ir
4 8 2
direct
0.8750 0.1441 0.5191
0.4809 0.3559 0.6250
0.3750 0.8559 0.7309
0.2691 0.6441 0.1250
0.1113 0.9137 0.3742
0.6258 0.7372 0.5396
0.9476 0.5863 0.7104
0.2896 0.2372 0.8758
0.6387 0.7628 0.0524
0.8024 0.2628 0.8887
0.4604 0.0863 0.1976
0.1242 0.4137 0.3613
0.0000 0.0000 0.0000
0.7500 0.5000 0.2500
```



Entry 23:
Crystalline Li5Ga5Ir2 at its relaxed geometry, computed with PBE.

Computed properties:
D(E_F): 3.0 states/eV/cell
formation energy: -0.441 eV per atom

Geometry as POSCAR:
```
Li5Ga5Ir2
1.0
-4.1211 -1.4491 -0.2382
-1.4807 -1.7585 -3.7100
1.0908 -10.7387 4.6368
Li Ga Ir
5 5 2
direct
0.0000 0.5000 0.5000
0.5979 0.7019 0.1096
0.4469 0.7772 0.3327
0.5531 0.2228 0.6673
0.4021 0.2981 0.8904
0.7107 0.1450 0.4345
0.8049 0.5968 0.7843
0.1951 0.4032 0.2157
0.2893 0.8550 0.5655
0.0000 0.0000 0.0000
0.1349 0.9316 0.7899
0.8651 0.0684 0.2101
```



Entry 24:
Crystalline LiGa2Ir2 at its relaxed geometry, computed with PBE.

Computed properties:
D(E_F): 2.4 states/eV/cell
polymorph energy (0 for the lowest one): 0.00 eV/f.u.
formation energy: -0.453 eV per atom

Geometry as POSCAR:
```
LiGa2Ir2
1.0
7.2510 0.0000 0.0000
0.0000 7.2510 0.0000
0.0000 0.0000 2.8908
Ir Ga Li
4 4 2
direct
0.1519 0.6519 0.5000
0.6519 0.8481 0.5000
0.8481 0.3481 0.5000
0.3481 0.1519 0.5000
0.3541 0.8541 0.0000
0.8541 0.6459 0.0000
0.6459 0.1459 0.0000
0.1459 0.3541 0.0000
0.0000 0.0000 0.0000
0.5000 0.5000 0.0000
```



Entry 25:
Crystalline Li3Ga3Ir2 at its relaxed geometry, computed with PBE.

Computed properties:
D(E_F): 6.8 states/eV/cell
formation energy: -0.398 eV per atom

Geometry as POSCAR:
```
Li3Ga3Ir2
1.0
5.4986 0.0000 0.0000
0.0000 6.3049 3.6396
0.0000 0.0004 7.2800
Li Ga Ir
6 6 4
direct
0.7500 0.0000 0.2429
0.7500 0.2429 0.7571
0.7500 0.7571 0.0000
0.2500 0.0000 0.7571
0.2500 0.7571 0.2429
0.2500 0.2429 0.0000
0.7500 0.0000 0.5885
0.7500 0.5885 0.4115
0.7500 0.4115 0.0000
0.2500 0.0000 0.4115
0.2500 0.4115 0.5885
0.2500 0.5885 0.0000
0.0000 0.3333 0.3333
0.5000 0.6667 0.6667
0.0000 0.6667 0.6667
0.5000 0.3333 0.3333
```